(1)
TbPu3I8 | PBE | relaxed

Summary:
The value obtained for the total moment is 38.0 μB per cell. The formation energy (no corrections) comes out at -13.29 eV/f.u.

Geometry as CIF:
```
data_TbPu3I8
_chemical_formula_sum 'Tb2 Pu6 I16'
_space_group_name_H-M_alt 'C 1 2/m 1'
_space_group_IT_number 12
_space_group_name_Hall '-C 2y'
_cell_length_a 14.9060
_cell_length_b 8.6020
_cell_length_c 9.3426
_cell_angle_alpha 90.00
_cell_angle_beta 122.38
_cell_angle_gamma 90.00
loop_
_atom_site_label
_atom_site_type_symbol
_atom_site_fract_x
_atom_site_fract_y
_atom_site_fract_z
_atom_site_occupancy
Tb1 Tb 0.0000 0.0000 0.0000 1
Pu1 Pu 0.0000 0.5000 0.0000 1
Pu2 Pu 0.2500 0.2500 0.0000 1
I1 I 0.0011 0.2439 0.2455 1
I2 I 0.2449 0.0000 0.2456 1
I3 I 0.2501 0.0000 0.7522 1
```

(2)
Sr2TaSb | PBE | relaxed

Summary:
The value obtained for the total moment is 3.6 μB per cell. The formation energy (no corrections) comes out at 1.46 eV/f.u.

Geometry as CIF:
```
data_Sr2TaSb
_chemical_formula_sum 'Sr2 Ta1 Sb1'
_space_group_name_H-M_alt 'P 4/m m m'
_space_group_IT_number 123
_space_group_name_Hall '-P 4 2'
_cell_length_a 5.1330
_cell_length_b 5.1330
_cell_length_c 4.6395
_cell_angle_alpha 90.00
_cell_angle_beta 90.00
_cell_angle_gamma 90.00
loop_
_atom_site_label
_atom_site_type_symbol
_atom_site_fract_x
_atom_site_fract_y
_atom_site_fract_z
_atom_site_occupancy
Sr1 Sr 0.0000 0.5000 0.0000 1
Ta1 Ta 0.0000 0.0000 0.5000 1
Sb1 Sb 0.5000 0.5000 0.5000 1
```

(3)
SiPPb2 | PBE | relaxed

Summary:
The value obtained for the total moment is 0.0 μB per cell. The formation energy (no corrections) comes out at 1.96 eV/f.u.

Geometry as CIF:
```
data_SiPPb2
_chemical_formula_sum 'Si2 P2 Pb4'
_space_group_name_H-M_alt 'C 1 2/m 1'
_space_group_IT_number 12
_space_group_name_Hall '-C 2y'
_cell_length_a 6.6690
_cell_length_b 7.4429
_cell_length_c 3.8427
_cell_angle_alpha 90.00
_cell_angle_beta 91.41
_cell_angle_gamma 90.00
loop_
_atom_site_label
_atom_site_type_symbol
_atom_site_fract_x
_atom_site_fract_y
_atom_site_fract_z
_atom_site_occupancy
Si1 Si 0.0000 0.0000 0.0000 1
P1 P 0.0000 0.5000 0.0000 1
Pb1 Pb 0.2500 0.2500 0.5000 1
```

(4)
GeSbMoW | PBE | relaxed

Summary:
The value obtained for the total moment is 0.0 μB per cell. The formation energy (no corrections) comes out at 1.48 eV/f.u.

Geometry as CIF:
```
data_GeSbMoW
_chemical_formula_sum 'Ge2 Sb2 Mo2 W2'
_space_group_name_H-M_alt 'A m m 2'
_space_group_IT_number 38
_space_group_name_Hall 'A 2 -2'
_cell_length_a 3.1400
_cell_length_b 4.0272
_cell_length_c 13.0628
_cell_angle_alpha 90.00
_cell_angle_beta 90.00
_cell_angle_gamma 90.00
loop_
_atom_site_label
_atom_site_type_symbol
_atom_site_fract_x
_atom_site_fract_y
_atom_site_fract_z
_atom_site_occupancy
Ge1 Ge 0.0000 0.0000 0.0000 1
Sb1 Sb 0.5000 0.0000 0.2539 1
Mo1 Mo 0.5000 0.0000 0.4747 1
W1 W 0.0000 0.0000 0.6319 1
```

(5)
Ge2Te4Pb | PBE | relaxed

Summary:
The value obtained for the total moment is 0.0 μB per cell. The formation energy (no corrections) comes out at -0.51 eV/f.u.

Geometry as CIF:
```
data_Ge2Te4Pb
_chemical_formula_sum 'Ge8 Te16 Pb4'
_space_group_name_H-M_alt 'C m c m'
_space_group_IT_number 63
_space_group_name_Hall '-C 2c 2'
_cell_length_a 4.3552
_cell_length_b 14.5091
_cell_length_c 13.3658
_cell_angle_alpha 90.00
_cell_angle_beta 90.00
_cell_angle_gamma 90.00
loop_
_atom_site_label
_atom_site_type_symbol
_atom_site_fract_x
_atom_site_fract_y
_atom_site_fract_z
_atom_site_occupancy
Ge1 Ge 0.0000 0.1378 0.0568 1
Te1 Te 0.0000 0.0657 0.2500 1
Te2 Te 0.0000 0.2385 0.6354 1
Te3 Te 0.0000 0.5000 0.0000 1
Pb1 Pb 0.0000 0.4154 0.2500 1
```

(6)
AgAsBr2Cl | PBE | relaxed

Summary:
The value obtained for the total moment is 0.8 μB per cell. The formation energy (no corrections) comes out at 2.23 eV/f.u.

Geometry as CIF:
```
data_AgAsBr2Cl
_chemical_formula_sum 'Ag1 As1 Br2 Cl1'
_space_group_name_H-M_alt 'P 4/m m m'
_space_group_IT_number 123
_space_group_name_Hall '-P 4 2'
_cell_length_a 5.1017
_cell_length_b 5.1017
_cell_length_c 5.4573
_cell_angle_alpha 90.00
_cell_angle_beta 90.00
_cell_angle_gamma 90.00
loop_
_atom_site_label
_atom_site_type_symbol
_atom_site_fract_x
_atom_site_fract_y
_atom_site_fract_z
_atom_site_occupancy
Ag1 Ag 0.0000 0.0000 0.0000 1
As1 As 0.0000 0.0000 0.5000 1
Br1 Br 0.0000 0.5000 0.0000 1
Cl1 Cl 0.5000 0.5000 0.5000 1
```

Q: Which of these has the lowest formation energy (no corrections)?
A: TbPu3I8

Q: total moment of number 6 (AgAsBr2Cl)?
A: 0.8 μB per cell

Q: formation energy (no corrections) of number 4 (GeSbMoW)?
A: 1.48 eV/f.u.

Q: Number 5 is which compound?
A: Ge2Te4Pb